First-principles (GGA-PBEsol) data for a relaxed structure of MoIrOs2, as listed in Alexandria via LeMat-Bulk.

The calculation puts the energy of formation from the pure elements at 0.064 eV per atom. As for the crystal system: tetragonal. As for the volume: 14.33 Å³ per atom. The density of states at the Fermi level is 3.4 states/eV per cell. The calculation puts the calculated density at 19.4 g cm⁻³.

The space group is P4/mmm (No. 123) and the conventional cell measures 2.721, 2.721 and 7.743 Å, with angles of 90.00, 90.00 and 90.00 degrees. The distinct sites, in fractional coordinates, are Mo at (0.000, 0.000, 0.000), Ir at (0.000, 0.000, 0.500) and Os at (0.500, 0.500, 0.253).